a | VASP calculation (GGA-PBEsol) on a relaxed structure of Pr3Ho.

- spin magnetization (μB per formula unit) = 0.00

Unit cell a=5.074 b=5.074 c=10.135 alpha=90.00 beta=90.00 gamma=90.00
Space group I4/mmm (No. 139)
Inequivalent atoms, fractional coordinates:
Pr 0.000 0.000 0.000 x2
Pr 0.000 0.500 0.250 x4
Ho 0.000 0.000 0.500 x2



b | VASP calculation (GGA-PBEsol) on a relaxed structure of Pr3Ho.

- spin magnetization (μB per formula unit) = 0.00

Unit cell a=7.2199 b=7.2199 c=5.8250 alpha=90.00 beta=90.00 gamma=120.00
Space group P6_3/mmc (No. 194)
Inequivalent atoms, fractional coordinates:
Pr 0.1674 0.3348 0.2500 x6
Ho 0.3333 0.6667 0.7500 x2



Bottom line: a, by a margin of 0.019 eV/atom.



a | VASP calculation (GGA-PBEsol) on a relaxed structure of La2TaAu.

- spin magnetization (μB per formula unit) = 0.00

Unit cell a=3.324 b=5.295 c=11.382 alpha=90.00 beta=90.00 gamma=90.00
Space group Imm2 (No. 44)
Inequivalent atoms, fractional coordinates:
La 0.000 0.000 0.000 x2
La 0.000 0.500 0.202 x2
Ta 0.000 0.500 0.758 x2
Au 0.000 0.000 0.444 x2



b | VASP calculation (GGA-PBEsol) on a relaxed structure of La2TaAu.

- spin magnetization (μB per formula unit) = 0.00

Unit cell a=5.508 b=5.508 c=3.245 alpha=90.00 beta=90.00 gamma=90.00
Space group P4/mmm (No. 123)
Inequivalent atoms, fractional coordinates:
La 0.000 0.500 0.000 x2
Ta 0.000 0.000 0.500 x1
Au 0.500 0.500 0.500 x1



Bottom line: a, by a margin of 0.045 eV/atom.



a | VASP calculation (GGA-PBEsol) on a relaxed structure of Zr2ScCo.

- spin magnetization (μB per formula unit) = 0.00

Unit cell a=3.205 b=3.205 c=7.305 alpha=90.00 beta=90.00 gamma=90.00
Space group P4/mmm (No. 123)
Inequivalent atoms, fractional coordinates:
Zr 0.000 0.000 0.206 x2
Sc 0.500 0.500 0.500 x1
Co 0.500 0.500 0.000 x1



b | VASP calculation (GGA-PBEsol) on a relaxed structure of Zr2ScCo.

- spin magnetization (μB per formula unit) = 0.00

Unit cell a=3.902 b=3.902 c=9.647 alpha=90.00 beta=90.00 gamma=90.00
Space group I4/mmm (No. 139)
Inequivalent atoms, fractional coordinates:
Zr 0.000 0.500 0.250 x4
Sc 0.000 0.000 0.000 x2
Co 0.000 0.000 0.500 x2



Bottom line: a, by a margin of 0.189 eV/atom.



a | VASP calculation (GGA-PBEsol) on a relaxed structure of K3Sb.

- spin magnetization (μB per formula unit) = 0.00

Unit cell a=8.380 b=8.380 c=8.380 alpha=90.00 beta=90.00 gamma=90.00
Space group Fm-3m (No. 225)
Inequivalent atoms, fractional coordinates:
K 0.000 0.000 0.000 x4
K 0.250 0.250 0.250 x8
Sb 0.000 0.000 0.500 x4



b | VASP calculation (GGA-PBEsol) on a relaxed structure of K3Sb.

- spin magnetization (μB per formula unit) = 0.00

Unit cell a=6.0024 b=6.0024 c=10.6668 alpha=90.00 beta=90.00 gamma=120.00
Space group P6_3/mmc (No. 194)
Inequivalent atoms, fractional coordinates:
K 0.0000 0.0000 0.2500 x2
K 0.3333 0.6667 0.0819 x4
Sb 0.3333 0.6667 0.7500 x2



Bottom line: b, by a margin of 0.023 eV/atom.